No. 1
YAlAu3: optimized geometry, PBE-GGA.

Cell: 5.3663 6.6458 6.6454 Å, 120.00 90.00 90.00°
Last column: nearest neighbours and their distance in Å.
Atoms (fractional coordinates):
Au: 0.2500 0.3840 0.1920  2 Al 2.59, 2 Au 2.82
Au: 0.7500 0.1920 0.3840  2 Al 2.59, 2 Au 2.82
Au: 0.2499 0.8080 0.1920  2 Al 2.59, 2 Au 2.82
Au: 0.7501 0.1920 0.8080  2 Al 2.59, 2 Au 2.82
Au: 0.2500 0.8080 0.6160  2 Al 2.59, 2 Au 2.82
Au: 0.7500 0.6160 0.8080  2 Al 2.59, 2 Au 2.82
Al: 0.5000 0.0000 0.0000  6 Au 2.59, 2 Al 2.68
Al: 0.0000 0.0000 0.0000  6 Au 2.59, 2 Al 2.68
Y: 0.7499 0.6667 0.3334  12 Au 3.14-3.34
Y: 0.2501 0.3333 0.6666  12 Au 3.14-3.34

Calculated values
- Polymorph energy (0 for the lowest one): 0.065 eV/atom
- Formation energy from the elements: -3.043 eV/f.u.
- E_tot: -4.62 eV/atom
- Total magnetic moment: 0.000 μB/cell
- Space group: P6_3/mmc

---

No. 2
YAl2Au2: optimized geometry, PBE-GGA.

Cell: 4.1718 4.1718 6.4800 Å, 71.22 71.22 90.00°
Last column: nearest neighbours and their distance in Å.
Atoms (fractional coordinates):
Au: 0.3814 0.3814 0.2371  4 Al 2.58, 1 Au 2.74
Au: 0.6186 0.6186 0.7629  4 Al 2.58, 1 Au 2.74
Al: 0.2500 0.7500 0.5000  4 Au 2.58
Al: 0.7500 0.2500 0.5000  4 Au 2.58
Y: 0.0000 0.0000 0.0000  8 Au 3.25, 8 Al 3.56

Calculated values
- Formation energy from the elements: -3.521 eV/f.u.
- E_tot: -4.80 eV/atom
- Total magnetic moment: 0.000 μB/cell
- Space group: I4/mmm

---

No. 3
Y2Al6Au9: optimized geometry, PBE-GGA.

Cell: 5.7481 5.7481 12.3099 Å, 90.00 90.00 120.00°
Last column: nearest neighbours and their distance in Å.
Atoms (fractional coordinates):
Au: 0.5000 0.5000 0.1683  4 Al 2.63-2.65, 4 Au 2.87
Au: 0.0000 0.5000 0.8317  4 Al 2.63-2.65, 4 Au 2.87
Au: 0.5000 0.5000 0.8317  4 Al 2.63-2.65, 4 Au 2.87
Au: 0.5000 0.5000 0.5000  4 Al 2.63, 4 Au 2.87
Au: 0.5000 0.0000 0.5000  4 Al 2.63, 4 Au 2.87
Au: 0.5000 0.0000 0.8317  4 Al 2.63-2.65, 4 Au 2.87
Au: 0.0000 0.5000 0.5000  4 Al 2.63, 4 Au 2.87
Au: 0.0000 0.5000 0.1683  4 Al 2.63-2.65, 4 Au 2.87
Au: 0.5000 0.0000 0.1683  4 Al 2.63-2.65, 4 Au 2.87
Al: 0.3333 0.6667 0.3345  6 Au 2.63
Al: 0.6667 0.3333 0.0000  6 Au 2.65
Al: 0.6667 0.3333 0.6655  6 Au 2.63
Al: 0.6667 0.3333 0.3345  6 Au 2.63
Al: 0.3333 0.6667 0.0000  6 Au 2.65
Al: 0.3333 0.6667 0.6655  6 Au 2.63
Y: 0.0000 0.0000 0.6737  6 Al 3.32, 12 Au 3.47-3.58
Y: 0.0000 0.0000 0.3263  6 Al 3.32, 12 Au 3.47-3.58

Calculated values
- Formation energy from the elements: -7.041 eV/f.u.
- E_tot: -4.23 eV/atom
- Total magnetic moment: 0.000 μB/cell
- Space group: P6/mmm

---

No. 4
Y2AlAu3: optimized geometry, PBE-GGA.

Cell: 5.7908 5.7908 8.7648 Å, 103.69 103.69 106.46°
Last column: nearest neighbours and their distance in Å.
Atoms (fractional coordinates):
Au: 0.1763 0.6500 0.8263  1 Al 2.55, 2 Au 2.80-2.81
Au: 0.6500 0.1763 0.8263  1 Al 2.55, 2 Au 2.80-2.81
Au: 0.3500 0.8237 0.1737  1 Al 2.55, 2 Au 2.80-2.81
Au: 0.8237 0.3500 0.1737  1 Al 2.55, 2 Au 2.80-2.81
Au: 0.8262 0.8262 0.6524  1 Al 2.56, 2 Au 2.81
Au: 0.1738 0.1738 0.3476  1 Al 2.56, 2 Au 2.81
Y: 0.2433 0.2433 0.0000  10 Au 3.15-3.28, 2 Al 3.22, 1 Y 3.37
Y: 0.7500 0.2500 0.5000  8 Au 3.14-3.15, 4 Al 3.19, 2 Y 3.47
Y: 0.7567 0.7567 0.0000  10 Au 3.15-3.28, 2 Al 3.22, 1 Y 3.37
Y: 0.2500 0.7500 0.5000  8 Au 3.14-3.15, 4 Al 3.19, 2 Y 3.47
Al: 0.6669 0.6669 0.3338  3 Au 2.55-2.56
Al: 0.3331 0.3331 0.6662  3 Au 2.55-2.56

Calculated values
- Formation energy from the elements: -4.717 eV/f.u.
- E_tot: -5.20 eV/atom
- Total magnetic moment: 0.000 μB/cell
- Space group: Fmmm

---

No. 5
Y2Al5Au3: optimized geometry, PBE-GGA.

Cell: 6.0836 8.6216 8.6216 Å, 78.48 69.34 69.34°
Last column: nearest neighbours and their distance in Å.
Atoms (fractional coordinates):
Al: 0.8865 0.9679 0.2592  3 Au 2.46-2.58, 2 Al 2.67
Al: 0.5085 0.2415 0.2415  3 Au 2.58-2.87, 2 Al 2.67
Al: 0.1135 0.0321 0.7408  3 Au 2.46-2.58, 2 Al 2.67
Al: 0.0085 0.2415 0.2415  3 Au 2.58-2.87, 2 Al 2.67
Al: 0.2500 0.5000 0.5000  4 Au 2.58
Al: 0.6135 0.7408 0.0321  3 Au 2.46-2.58, 2 Al 2.67
Al: 0.3865 0.2592 0.9679  3 Au 2.46-2.58, 2 Al 2.67
Al: 0.7500 0.5000 0.5000  4 Au 2.58
Al: 0.9915 0.7585 0.7585  3 Au 2.58-2.87, 2 Al 2.67
Al: 0.4915 0.7585 0.7585  3 Au 2.58-2.87, 2 Al 2.67
Y: 0.1296 0.6103 0.1305  10 Al 3.15-3.48, 4 Au 3.20-3.31
Y: 0.8704 0.3897 0.8695  10 Al 3.15-3.48, 4 Au 3.20-3.31
Y: 0.6296 0.1305 0.6103  10 Al 3.15-3.48, 4 Au 3.20-3.31
Y: 0.3704 0.8695 0.3897  10 Al 3.15-3.48, 4 Au 3.20-3.31
Au: 0.2500 0.0000 0.0000  6 Al 2.58-2.87
Au: 0.8704 0.7588 0.5005  5 Al 2.46-2.58
Au: 0.3704 0.5005 0.7588  5 Al 2.46-2.58
Au: 0.1296 0.2412 0.4995  5 Al 2.46-2.58
Au: 0.6296 0.4995 0.2412  5 Al 2.46-2.58
Au: 0.7500 0.0000 0.0000  6 Al 2.58-2.87

Calculated values
- Formation energy from the elements: -6.678 eV/f.u.
- E_tot: -4.82 eV/atom
- Total magnetic moment: 0.000 μB/cell
- Space group: Ibam

---

No. 6
Y2Al2Au: optimized geometry, PBE-GGA.

Cell: 4.4820 5.8369 9.7234 Å, 87.42 76.68 67.42°
Last column: nearest neighbours and their distance in Å.
Atoms (fractional coordinates):
Au: 0.3839 0.8907 0.3415  4 Al 2.60-2.81
Au: 0.6161 0.1093 0.6585  4 Al 2.60-2.81
Al: 0.3651 0.1560 0.1138  1 Au 2.64, 1 Al 2.67
Al: 0.0875 0.2690 0.5559  3 Au 2.60-2.81, 1 Al 2.75
Al: 0.6349 0.8440 0.8862  1 Au 2.64, 1 Al 2.67
Al: 0.9125 0.7310 0.4441  3 Au 2.60-2.81, 1 Al 2.75
Y: 0.0776 0.7379 0.1068  6 Al 3.13-3.19, 2 Au 3.23
Y: 0.9224 0.2621 0.8932  6 Al 3.13-3.19, 2 Au 3.23
Y: 0.3210 0.6844 0.6735  4 Au 3.10-3.38, 7 Al 3.11-3.39
Y: 0.6790 0.3156 0.3265  4 Au 3.10-3.38, 7 Al 3.11-3.39

Calculated values
- Polymorph energy (0 for the lowest one): 0.000 eV/atom
- Formation energy from the elements: -3.266 eV/f.u.
- E_tot: -5.39 eV/atom
- Total magnetic moment: 0.000 μB/cell
- Space group: C2/m

---

No. 7
YAl2Au: optimized geometry, PBE-GGA.

Cell: 5.2064 5.2064 5.2064 Å, 130.42 130.43 72.73°
Last column: nearest neighbours and their distance in Å.
Atoms (fractional coordinates):
Al: 0.0000 0.0000 0.0000  4 Al 3.03, 4 Y 3.03, 4 Au 3.09
Al: 0.7502 0.2502 0.5000  4 Au 3.02-3.03, 4 Al 3.03, 4 Y 3.09
Y: 0.2499 0.7499 0.5000  8 Al 3.03-3.09, 4 Au 3.03
Au: 0.4998 0.4998 0.0000  8 Al 3.02-3.09, 4 Y 3.03

Calculated values
- Formation energy from the elements: -1.756 eV/f.u.
- E_tot: -4.75 eV/atom
- Total magnetic moment: 0.000 μB/cell
- Space group: I-4m2

---

No. 8
YAl3Au4: optimized geometry, PBE-GGA.

Cell: 4.3684 4.3684 8.2169 Å, 90.00 90.00 89.99°
Last column: nearest neighbours and their distance in Å.
Atoms (fractional coordinates):
Au: 0.0000 0.5000 0.1838  4 Al 2.56-2.66
Au: 0.0000 0.5000 0.8162  4 Al 2.56-2.66
Au: 0.5000 0.0000 0.1838  4 Al 2.56-2.66
Au: 0.5000 0.0000 0.8162  4 Al 2.56-2.66
Y: 0.0000 0.0000 0.5000  8 Al 3.34, 8 Au 3.39
Al: 0.0000 0.0000 0.0000  8 Au 2.66
Al: 0.5000 0.5000 0.3464  1 Al 2.52, 4 Au 2.56
Al: 0.5000 0.5000 0.6536  1 Al 2.52, 4 Au 2.56

Calculated values
- Formation energy from the elements: -4.105 eV/f.u.
- E_tot: -4.36 eV/atom
- Total magnetic moment: 0.000 μB/cell
- Space group: P4/mmm